PBE Dy4BTe3, optimized geometry; E = -43.07 eV per formula unit; raw formation energy = -1069 meV per atom; symmetry = Cmmm
1.0
4.140 0.000 0.000
0.000 7.049 -2.373
0.000 -0.029 7.438
Te Dy B
3 4 1
direct
0.000 0.000 0.500
0.000 0.500 0.000
0.500 0.500 0.500
0.000 0.793 0.793
0.000 0.207 0.207
0.500 0.216 0.784
0.500 0.784 0.216
0.500 0.000 0.000